Entry 1:
CaOs3W | GGA-PBE | optimized geometry

Properties
Formation energy from the elements: 1483 meV/atom
Calculated volume: 109.08 Å³/cell

Cell lengths 4.7780, 4.7780, 4.7780 Å; angles 90.00, 90.00, 90.00 degrees
Space group Pm-3m (No. 221)
Unique sites:
Ca (0.0000, 0.0000, 0.0000) (multiplicity 1)
Os (0.0000, 0.5000, 0.5000) (multiplicity 3)
W (0.5000, 0.5000, 0.5000) (multiplicity 1)

---

Entry 2:
SrEu2Ru | GGA-PBE | optimized geometry

Properties
Formation energy from the elements: 131 meV/atom
Calculated volume: 129.37 Å³/cell

Cell lengths 3.6137, 3.6137, 9.9069 Å; angles 90.00, 90.00, 90.00 degrees
Space group P4/mmm (No. 123)
Unique sites:
Sr (0.0000, 0.0000, 0.0000) (multiplicity 1)
Eu (0.5000, 0.5000, 0.3310) (multiplicity 2)
Ru (0.0000, 0.0000, 0.5000) (multiplicity 1)

---

Entry 3:
La2DyEr | GGA-PBE | optimized geometry

Properties
Formation energy from the elements: 30 meV/atom
Calculated volume: 406.70 Å³/cell

Cell lengths 3.6440, 3.6440, 35.3651 Å; angles 90.00, 90.00, 120.00 degrees
Space group R3m (No. 160, hexagonal axes)
Unique sites:
La (0.0000, 0.0000, 0.0000) (multiplicity 3)
La (0.0000, 0.0000, 0.1666) (multiplicity 3)
Dy (0.0000, 0.0000, 0.7508) (multiplicity 3)
Er (0.0000, 0.0000, 0.5821) (multiplicity 3)

---

Entry 4:
YCr2W | GGA-PBE | optimized geometry

Properties
Formation energy from the elements: 771 meV/atom
Calculated volume: 138.56 Å³/cell

Cell lengths 3.8309, 3.8309, 9.4414 Å; angles 90.00, 90.00, 90.00 degrees
Space group I-4m2 (No. 119)
Unique sites:
Y (0.0000, 0.0000, 0.0000) (multiplicity 2)
Cr (0.0000, 0.0000, 0.5000) (multiplicity 2)
Cr (0.0000, 0.5000, 0.7500) (multiplicity 2)
W (0.0000, 0.5000, 0.2500) (multiplicity 2)

---

Entry 5:
Cs2RbBaH | GGA-PBE | optimized geometry

Properties
Electronic total energy: -1.567 eV/atom
Calculated volume: 334.56 Å³/cell

Cell lengths 7.9029, 7.9029, 5.3568 Å; angles 90.00, 90.00, 90.00 degrees
Space group P4/mmm (No. 123)
Unique sites:
Cs (0.0000, 0.5000, 0.0000) (multiplicity 2)
Rb (0.0000, 0.0000, 0.5000) (multiplicity 1)
Ba (0.5000, 0.5000, 0.5000) (multiplicity 1)
H (0.5000, 0.5000, 0.0000) (multiplicity 1)

---

Entry 6:
B2AsC | GGA-PBE | optimized geometry

Properties
Formation energy from the elements: 2451 meV/atom
Calculated volume: 156.73 Å³/cell

Cell lengths 5.3916, 5.3916, 5.3916 Å; angles 90.00, 90.00, 90.00 degrees
Space group Fm-3m (No. 225)
Unique sites:
B (0.2500, 0.2500, 0.2500) (multiplicity 8)
As (0.0000, 0.0000, 0.0000) (multiplicity 4)
C (0.0000, 0.0000, 0.5000) (multiplicity 4)

---

Question: Which of these has the lowest calculated volume?
Answer: CaOs3W